CaTcSn2 | PBE | optimized geometry

Structure (CIF):
```
data_CaTcSn2
_cell_length_a 3.393
_cell_length_b 3.393
_cell_length_c 7.665
_cell_angle_alpha 90.00
_cell_angle_beta 90.00
_cell_angle_gamma 90.00
_symmetry_space_group_name_H-M 'P 1'
_symmetry_Int_Tables_number 1
loop_
_symmetry_equiv_pos_as_xyz
'x,y,z'
loop_
_atom_site_label
_atom_site_type_symbol
_atom_site_fract_x
_atom_site_fract_y
_atom_site_fract_z
_atom_site_occupancy
Sn1 Sn 0.000 0.000 0.800 1
Tc1 Tc 0.500 0.500 0.000 1
Sn2 Sn 0.000 0.000 0.200 1
Ca1 Ca 0.500 0.500 0.500 1
```

Values from the calculation:
Density of states at the Fermi level, states/eV per cell: 1.9
VASP energy, eV per atom: -5.304